Here is an optimized crystal structure of Li4Ti3Ni3Sb2O16 from Alexandria via LeMat-Bulk. Energies are from PBE with a Hubbard U.

Cell: 5.989 5.989 9.712 Å, 89.48 89.48 59.67°
Element x y z (fractional)
O (0.006, 0.006, 0.697)
O (0.521, 0.521, 0.661)
O (0.669, 0.175, 0.900)
O (0.482, 0.482, 0.151)
O (0.653, 0.653, 0.894)
O (0.839, 0.839, 0.414)
O (0.341, 0.838, 0.405)
O (0.175, 0.669, 0.900)
O (0.958, 0.507, 0.658)
O (0.172, 0.172, 0.894)
O (0.319, 0.319, 0.396)
O (0.838, 0.341, 0.405)
O (0.507, 0.958, 0.658)
O (0.008, 0.008, 0.203)
O (0.034, 0.472, 0.146)
O (0.472, 0.034, 0.146)
Ti (0.341, 0.834, 0.786)
Ti (0.173, 0.173, 0.282)
Ti (0.834, 0.341, 0.786)
Sb (0.673, 0.673, 0.506)
Sb (0.342, 0.342, 0.017)
Ni (0.171, 0.657, 0.289)
Ni (0.657, 0.171, 0.289)
Ni (0.828, 0.828, 0.788)
Li (0.991, 0.991, 0.018)
Li (0.001, 0.001, 0.505)
Li (0.332, 0.332, 0.593)
Li (0.662, 0.662, 0.103)

Calculated values
calculated total energy = -6.561 eV/atom
theoretical density = 4.68 g/cm3